1.
A plane-wave DFT calculation with PBE was carried out for a relaxed CaGa2Ni4Ge crystal.

POSCAR file:
```
CaGa2Ni4Ge
1.0
-1.341 -3.745 0.904
2.394 -2.582 2.061
-2.822 0.793 8.306
Ni Ge Ga Ca
4 1 2 1
Cartesian
-0.033 -3.546 3.670
-0.239 -5.145 5.945
-1.530 -0.389 5.327
-1.737 -1.987 7.601
-0.885 -2.767 5.636
-1.296 -4.178 8.383
-0.473 -1.355 2.889
0.000 0.000 0.000
```

Calculated values
Theoretical density   6.610 g cm⁻³
Calculated formation energy   -2.61 eV per formula unit
V   122.33 Å³/cell
Symmetry   R-3m


2.
A plane-wave DFT calculation with PBE was carried out for a relaxed Tb3DySc2 crystal.

POSCAR file:
```
Tb3DySc2
1.0
3.380 0.000 0.000
0.000 9.876 -0.479
-1.690 -2.939 10.933
Tb Sc Dy
6 4 2
Cartesian
1.690 -0.308 9.317
1.690 3.919 1.098
0.000 3.019 9.356
0.000 1.106 6.476
1.690 5.832 3.978
0.000 7.245 1.137
1.690 2.552 4.013
1.690 5.993 8.945
0.000 0.945 1.510
0.000 4.385 6.441
0.000 7.588 6.422
1.690 -0.651 4.032
```

Calculated values
Theoretical density   6.723 g cm⁻³
Calculated formation energy   0.91 eV per formula unit
Energy above the lowest structure with this stoichiometry   0 meV per atom
V   360.20 Å³/cell
Symmetry   C2/m


3.
A plane-wave DFT calculation with PBE was carried out for a relaxed Nd2Sm3Dy7 crystal.

POSCAR file:
```
Nd2Sm3Dy7
1.0
3.540 0.000 0.000
0.000 6.330 0.748
0.000 2.387 17.902
Dy Sm Nd
7 3 2
Cartesian
1.770 0.782 3.006
0.000 4.761 15.299
1.770 5.975 9.510
1.770 2.742 9.140
0.000 0.000 0.000
1.770 7.935 15.644
0.000 3.956 3.351
1.770 3.165 0.374
0.000 7.191 12.462
0.000 1.525 6.187
1.770 4.032 12.337
1.770 4.685 6.313
```

Calculated values
Theoretical density   7.895 g cm⁻³
Calculated formation energy   0.97 eV per formula unit
Energy above the lowest structure with this stoichiometry   0 meV per atom
V   394.82 Å³/cell
Symmetry   P2/m


4.
A plane-wave DFT calculation with PBE was carried out for a relaxed CoTeMo2 crystal.

POSCAR file:
```
CoTeMo2
1.0
-3.182 -3.701 -0.099
-1.171 -4.171 2.250
-3.398 0.828 3.075
Mo Co Te
2 1 1
Cartesian
-5.798 -5.358 3.890
-4.456 -7.647 2.284
-1.734 -1.780 1.128
-3.994 -3.651 2.688
```

Calculated values
E_form (uncorrected)   352 meV/atom
Theoretical density   9.939 g cm⁻³
V   63.23 Å³/cell
Symmetry   Cm


5.
A plane-wave DFT calculation with PBE was carried out for a relaxed CoB2Cl8 crystal.

POSCAR file:
```
CoB2Cl8
1.0
-0.858 -4.287 3.619
7.118 -1.638 -0.121
1.895 4.258 5.625
Cl B Co
8 2 1
Cartesian
3.046 -0.028 2.798
6.942 0.638 5.655
4.669 -4.440 3.000
7.147 -1.361 2.094
3.485 2.772 6.123
5.109 -1.639 6.326
1.213 -2.306 3.468
1.007 -0.306 7.029
6.599 -0.756 6.774
1.555 -0.911 2.349
0.000 0.000 0.000
```

Calculated values
E_form (uncorrected)   -765 meV/atom
Theoretical density   2.009 g cm⁻³
V   300.99 Å³/cell
Symmetry   C2/m


6.
A plane-wave DFT calculation with PBE was carried out for a relaxed AcPm2Ni crystal.

POSCAR file:
```
AcPm2Ni
1.0
-6.013 2.797 -0.306
-2.248 -5.310 -4.356
-2.920 -5.393 8.081
Ni Pm Ac
4 8 4
Cartesian
-5.212 -4.900 -1.970
-9.064 -4.746 3.109
-2.117 -3.161 0.309
-5.969 -3.007 5.388
-2.558 -0.381 -0.294
-3.612 -2.328 2.624
-8.623 -7.526 3.712
-8.423 -4.441 5.843
-3.812 -5.413 0.493
-7.369 -2.494 2.925
-2.758 -3.466 -2.425
-7.569 -5.579 0.794
-5.814 -2.393 -0.514
-5.366 -5.514 3.932
-5.952 0.850 1.600
-5.228 -8.756 1.818
```

Calculated values
Theoretical density   7.857 g cm⁻³
Calculated formation energy   -0.64 eV per formula unit
Energy above the lowest structure with this stoichiometry   0 meV per atom
V   486.71 Å³/cell
Symmetry   Pnma


7.
A plane-wave DFT calculation with PBE was carried out for a relaxed Dy4Er3Ni4 crystal.

POSCAR file:
```
Dy4Er3Ni4
1.0
-1.740 -3.041 1.380
7.425 -4.808 -1.233
-0.525 5.732 6.833
Ni Er Dy
4 3 4
Cartesian
0.244 -2.242 0.505
0.337 -0.579 4.287
5.441 -5.607 -0.358
4.823 -1.538 2.693
3.712 -2.404 -0.617
4.650 -2.514 5.459
0.510 0.398 1.521
4.966 -4.242 2.052
0.194 2.125 4.928
2.201 -2.451 2.511
2.960 0.335 4.469
```

Calculated values
Theoretical density   9.122 g cm⁻³
Calculated formation energy   -2.61 eV per formula unit
V   252.41 Å³/cell
Symmetry   Immm


8.
A plane-wave DFT calculation with PBE was carried out for a relaxed TcIBrCl2 crystal.

POSCAR file:
```
TcIBrCl2
1.0
4.884 0.000 0.000
0.000 5.391 0.000
0.000 0.000 4.884
Cl Br I Tc
2 1 1 1
Cartesian
0.000 0.000 2.442
2.442 0.000 0.000
0.000 2.695 0.000
2.442 2.695 2.442
0.000 0.000 0.000
```

Calculated values
E_form (uncorrected)   63 meV/atom
Theoretical density   4.851 g cm⁻³
V   128.60 Å³/cell
Symmetry   P4/mmm


> Which value of V does entry 3 give?

394.82 Å³/cell